w.
The following is a DFT calculation (PBE) of CdMo2Pb after structural relaxation.

Properties
The calculation puts the density of states at the Fermi level at 3.35 states/eV/f.u.

CIF file:
```
data_CdMo2Pb
_cell_length_a 3.3997
_cell_length_b 4.7098
_cell_length_c 4.7645
_cell_angle_alpha 90.00
_cell_angle_beta 90.00
_cell_angle_gamma 90.00
_symmetry_space_group_name_H-M 'P m m m'
_symmetry_Int_Tables_number 47
loop_
_symmetry_equiv_pos_as_xyz
'x,y,z'
'-x,-y,-z'
'-x,-y,z'
'x,y,-z'
'x,-y,-z'
'-x,y,z'
'-x,y,-z'
'x,-y,z'
loop_
_atom_site_label
_atom_site_type_symbol
_atom_site_fract_x
_atom_site_fract_y
_atom_site_fract_z
Cd1 Cd 0.0000 0.0000 0.0000
Mo1 Mo 0.0000 0.5000 0.5000
Mo2 Mo 0.5000 0.5000 0.0000
Pb1 Pb 0.5000 0.0000 0.5000
```

x.
The following is a DFT calculation (PBE) of CdMo2Pb after structural relaxation.

Properties
The calculation puts the density of states at the Fermi level at 2.89 states/eV/f.u.

CIF file:
```
data_CdMo2Pb
_cell_length_a 2.9800
_cell_length_b 4.7785
_cell_length_c 5.5766
_cell_angle_alpha 90.00
_cell_angle_beta 96.02
_cell_angle_gamma 90.00
_symmetry_space_group_name_H-M 'P 1 2/m 1'
_symmetry_Int_Tables_number 10
loop_
_symmetry_equiv_pos_as_xyz
'x,y,z'
'-x,-y,-z'
'-x,y,-z'
'x,-y,z'
loop_
_atom_site_label
_atom_site_type_symbol
_atom_site_fract_x
_atom_site_fract_y
_atom_site_fract_z
Cd1 Cd 0.0000 0.0000 0.0000
Mo1 Mo 0.3315 0.5000 0.7855
Pb1 Pb 0.5000 0.0000 0.5000
```

x comes first in stability; the runner-up is 0.084 eV/atom higher.

w.
The following is a DFT calculation (PBE) of CdMo2Pb after structural relaxation.

Properties
The calculation puts the density of states at the Fermi level at 3.12 states/eV/f.u.

CIF file:
```
data_CdMo2Pb
_cell_length_a 4.2593
_cell_length_b 4.2593
_cell_length_c 8.3002
_cell_angle_alpha 90.00
_cell_angle_beta 90.00
_cell_angle_gamma 90.00
_symmetry_space_group_name_H-M 'I -4 m 2'
_symmetry_Int_Tables_number 119
_symmetry_space_group_name_Hall 'I -4 -2'
loop_
_atom_site_label
_atom_site_type_symbol
_atom_site_fract_x
_atom_site_fract_y
_atom_site_fract_z
Cd1 Cd 0.0000 0.0000 0.0000
Mo1 Mo 0.0000 0.0000 0.5000
Mo2 Mo 0.0000 0.5000 0.7500
Pb1 Pb 0.0000 0.5000 0.2500
```

x.
The following is a DFT calculation (PBE) of CdMo2Pb after structural relaxation.

Properties
The calculation puts the density of states at the Fermi level at 2.29 states/eV/f.u.

CIF file:
```
data_CdMo2Pb
_cell_length_a 6.7297
_cell_length_b 6.7297
_cell_length_c 6.7297
_cell_angle_alpha 90.00
_cell_angle_beta 90.00
_cell_angle_gamma 90.00
_symmetry_space_group_name_H-M 'F -4 3 m'
_symmetry_Int_Tables_number 216
_symmetry_space_group_name_Hall 'F -4 2 3'
loop_
_atom_site_label
_atom_site_type_symbol
_atom_site_fract_x
_atom_site_fract_y
_atom_site_fract_z
Cd1 Cd 0.0000 0.0000 0.0000
Mo1 Mo 0.0000 0.0000 0.5000
Mo2 Mo 0.2500 0.2500 0.2500
Pb1 Pb 0.2500 0.2500 0.7500
```

w comes first in stability; the runner-up is 0.073 eV/atom higher.

w.
The following is a DFT calculation (PBE) of CdMoPb after structural relaxation.

Properties
The calculation puts the density of states at the Fermi level at 2.51 states/eV/f.u.

CIF file:
```
data_CdMoPb
_cell_length_a 3.1471
_cell_length_b 3.1471
_cell_length_c 7.6167
_cell_angle_alpha 90.00
_cell_angle_beta 90.00
_cell_angle_gamma 120.00
_symmetry_space_group_name_H-M 'P 3 m 1'
_symmetry_Int_Tables_number 156
loop_
_symmetry_equiv_pos_as_xyz
'x,y,z'
'-y,x-y,z'
'-x+y,-x,z'
'-y,-x,z'
'-x+y,y,z'
'x,x-y,z'
loop_
_atom_site_label
_atom_site_type_symbol
_atom_site_fract_x
_atom_site_fract_y
_atom_site_fract_z
Cd1 Cd 0.0000 0.0000 0.0000
Mo1 Mo 0.6667 0.3333 0.2995
Pb1 Pb 0.3333 0.6667 0.6181
```

x.
The following is a DFT calculation (PBE) of CdMoPb after structural relaxation.

Properties
The calculation puts the density of states at the Fermi level at 2.07 states/eV/f.u.

CIF file:
```
data_CdMoPb
_cell_length_a 3.8550
_cell_length_b 4.6793
_cell_length_c 15.1908
_cell_angle_alpha 90.00
_cell_angle_beta 90.00
_cell_angle_gamma 90.00
_symmetry_space_group_name_H-M 'F m m 2'
_symmetry_Int_Tables_number 42
_symmetry_space_group_name_Hall 'F 2 -2'
loop_
_atom_site_label
_atom_site_type_symbol
_atom_site_fract_x
_atom_site_fract_y
_atom_site_fract_z
Cd1 Cd 0.0000 0.0000 0.0000
Mo1 Mo 0.0000 0.0000 0.3627
Pb1 Pb 0.0000 0.0000 0.7131
```

x comes first in stability; the runner-up is 0.025 eV/atom higher.

w.
The following is a DFT calculation (PBE) of CdMoPd2 after structural relaxation.

Properties
The calculation puts the density of states at the Fermi level at 2.47 states/eV/f.u.

CIF file:
```
data_CdMoPd2
_cell_length_a 2.8352
_cell_length_b 2.8352
_cell_length_c 8.1106
_cell_angle_alpha 90.00
_cell_angle_beta 90.00
_cell_angle_gamma 90.00
_symmetry_space_group_name_H-M 'P 4/m m m'
_symmetry_Int_Tables_number 123
_symmetry_space_group_name_Hall '-P 4 2'
loop_
_atom_site_label
_atom_site_type_symbol
_atom_site_fract_x
_atom_site_fract_y
_atom_site_fract_z
Cd1 Cd 0.0000 0.0000 0.0000
Mo1 Mo 0.0000 0.0000 0.5000
Pd1 Pd 0.5000 0.5000 0.2629
```

x.
The following is a DFT calculation (PBE) of CdMoPd2 after structural relaxation.

Properties
The calculation puts the density of states at the Fermi level at 3.85 states/eV/f.u.

CIF file:
```
data_CdMoPd2
_cell_length_a 7.2387
_cell_length_b 7.2387
_cell_length_c 5.6526
_cell_angle_alpha 90.00
_cell_angle_beta 90.00
_cell_angle_gamma 90.00
_symmetry_space_group_name_H-M 'I -4 2 d'
_symmetry_Int_Tables_number 122
_symmetry_space_group_name_Hall 'I -4 2bw'
loop_
_atom_site_label
_atom_site_type_symbol
_atom_site_fract_x
_atom_site_fract_y
_atom_site_fract_z
Cd1 Cd 0.0000 0.0000 0.0000
Mo1 Mo 0.0000 0.0000 0.5000
Pd1 Pd 0.2287 0.2500 0.6250
```

w comes first in stability; the runner-up is 0.693 eV/atom higher.